# Tb5Y2Tm6 GGA-PBE relaxed
# **Energy**: -123.25 eV per cell
# **E_form**: 0.099 eV/atom
# **Volume**: 411.8 Å³/f.u.
data_Tb5Y2Tm6
_chemical_formula_sum 'Tb10 Y4 Tm12'
_cell_length_a 11.571
_cell_length_b 20.093
_cell_length_c 3.542
_cell_angle_alpha 90.00
_cell_angle_beta 90.00
_cell_angle_gamma 90.00
_symmetry_space_group_name_H-M 'P b a m'
_symmetry_Int_Tables_number 55
loop_
_symmetry_equiv_pos_as_xyz
'x,y,z'
'-x,-y,-z'
'-x,-y,z'
'x,y,-z'
'x+1/2,-y+1/2,-z'
'-x+1/2,y+1/2,z'
'-x+1/2,y+1/2,-z'
'x+1/2,-y+1/2,z'
loop_
_atom_site_label
_atom_site_fract_x
_atom_site_fract_y
_atom_site_fract_z
_atom_site_occupancy
Tb1 0.000 0.000 0.000 1
Tb2 0.091 0.274 0.000 1
Tb3 0.199 0.550 0.000 1
Y1 0.167 0.711 0.500 1
Tm1 0.059 0.419 0.500 1
Tm2 0.081 0.132 0.500 1
Tm3 0.174 0.866 0.000 1

***

# Li2MoRh GGA-PBE relaxed
# **Energy**: -64.11 eV per cell
# **E_form**: 0.160 eV/atom
# **Volume**: 58.1 Å³/f.u.
data_Li2MoRh
_chemical_formula_sum 'Li6 Mo3 Rh3'
_cell_length_a 2.6758
_cell_length_b 2.6758
_cell_length_c 28.1187
_cell_angle_alpha 90.00
_cell_angle_beta 90.00
_cell_angle_gamma 120.00
_symmetry_space_group_name_H-M 'R -3 m'
_symmetry_Int_Tables_number 166
_symmetry_space_group_name_Hall '-R 3 2"'
loop_
_atom_site_label
_atom_site_fract_x
_atom_site_fract_y
_atom_site_fract_z
_atom_site_occupancy
Li1 0.0000 0.0000 0.2438 1
Mo1 0.0000 0.0000 0.0000 1
Rh1 0.0000 0.0000 0.5000 1

***

# Ga3Tc2 GGA-PBE relaxed
# **Energy**: -60.66 eV per cell
# **E_form**: -0.103 eV/atom
# **Volume**: 74.0 Å³/f.u.
data_Ga3Tc2
_chemical_formula_sum 'Ga6 Tc4'
_cell_length_a 9.415
_cell_length_b 3.245
_cell_length_c 6.649
_cell_angle_alpha 90.00
_cell_angle_beta 133.27
_cell_angle_gamma 90.00
_symmetry_space_group_name_H-M 'C 1 2/m 1'
_symmetry_Int_Tables_number 12
loop_
_symmetry_equiv_pos_as_xyz
'x,y,z'
'-x,-y,-z'
'-x,y,-z'
'x,-y,z'
'x+1/2,y+1/2,z'
'-x+1/2,-y+1/2,-z'
'-x+1/2,y+1/2,-z'
'x+1/2,-y+1/2,z'
loop_
_atom_site_label
_atom_site_fract_x
_atom_site_fract_y
_atom_site_fract_z
_atom_site_occupancy
Ga1 0.000 0.000 0.000 1
Ga2 0.194 0.000 0.609 1
Tc1 0.085 0.500 0.801 1

***

# PrZnCu3 GGA-PBE relaxed
# **Energy**: -75.74 eV per cell
# **E_form**: -0.119 eV/atom
# **Volume**: 92.1 Å³/f.u.
data_PrZnCu3
_chemical_formula_sum 'Pr4 Zn4 Cu12'
_cell_length_a 5.059
_cell_length_b 8.655
_cell_length_c 8.411
_cell_angle_alpha 90.00
_cell_angle_beta 90.00
_cell_angle_gamma 90.00
_symmetry_space_group_name_H-M 'I m m a'
_symmetry_Int_Tables_number 74
_symmetry_space_group_name_Hall '-I 2b 2'
loop_
_atom_site_label
_atom_site_fract_x
_atom_site_fract_y
_atom_site_fract_z
_atom_site_occupancy
Pr1 0.000 0.250 0.043 1
Zn1 0.000 0.000 0.500 1
Cu1 0.000 0.250 0.674 1
Cu2 0.250 0.015 0.750 1

***

# Pr2BeSn GGA-PBE relaxed
# **Energy**: -48.66 eV per cell
# **E_form**: 0.267 eV/atom
# **Volume**: 117.4 Å³/f.u.
data_Pr2BeSn
_chemical_formula_sum 'Pr6 Be3 Sn3'
_cell_length_a 3.5538
_cell_length_b 3.5538
_cell_length_c 32.1996
_cell_angle_alpha 90.00
_cell_angle_beta 90.00
_cell_angle_gamma 120.00
_symmetry_space_group_name_H-M 'R -3 m'
_symmetry_Int_Tables_number 166
_symmetry_space_group_name_Hall '-R 3 2"'
loop_
_atom_site_label
_atom_site_fract_x
_atom_site_fract_y
_atom_site_fract_z
_atom_site_occupancy
Pr1 0.0000 0.0000 0.1026 1
Be1 0.0000 0.0000 0.5000 1
Sn1 0.0000 0.0000 0.0000 1

***

# LaTlTc GGA-PBE relaxed
# **Energy**: -57.87 eV per cell
# **E_form**: 1.064 eV/atom
# **Volume**: 90.0 Å³/f.u.
data_LaTlTc
_chemical_formula_sum 'La4 Tl4 Tc4'
_cell_length_a 7.115
_cell_length_b 7.115
_cell_length_c 7.115
_cell_angle_alpha 90.00
_cell_angle_beta 90.00
_cell_angle_gamma 90.00
_symmetry_space_group_name_H-M 'F -4 3 m'
_symmetry_Int_Tables_number 216
_symmetry_space_group_name_Hall 'F -4 2 3'
loop_
_atom_site_label
_atom_site_fract_x
_atom_site_fract_y
_atom_site_fract_z
_atom_site_occupancy
La1 0.000 0.000 0.000 1
Tl1 0.250 0.250 0.250 1
Tc1 0.250 0.250 0.750 1

***

# LiMo2Br GGA-PBE relaxed
# **Energy**: -92.91 eV per cell
# **Volume**: 74.2 Å³/f.u.
data_LiMo2Br
_chemical_formula_sum 'Li4 Mo8 Br4'
_cell_length_a 3.615
_cell_length_b 3.615
_cell_length_c 22.716
_cell_angle_alpha 90.00
_cell_angle_beta 90.00
_cell_angle_gamma 90.00
_symmetry_space_group_name_H-M 'I -4 2 d'
_symmetry_Int_Tables_number 122
_symmetry_space_group_name_Hall 'I -4 2bw'
loop_
_atom_site_label
_atom_site_fract_x
_atom_site_fract_y
_atom_site_fract_z
_atom_site_occupancy
Li1 0.000 0.000 0.000 1
Mo1 0.227 0.250 0.125 1
Br1 0.000 0.000 0.500 1

***

# Ho3Ag GGA-PBE relaxed
# **Energy**: -16.21 eV per cell
# **E_form**: 0.093 eV/atom
# **Volume**: 118.5 Å³/f.u.
data_Ho3Ag
_chemical_formula_sum 'Ho3 Ag1'
_cell_length_a 3.460
_cell_length_b 3.600
_cell_length_c 9.510
_cell_angle_alpha 90.00
_cell_angle_beta 90.00
_cell_angle_gamma 90.00
_symmetry_space_group_name_H-M 'P m m 2'
_symmetry_Int_Tables_number 25
loop_
_symmetry_equiv_pos_as_xyz
'x,y,z'
'-x,-y,z'
'-x,y,z'
'x,-y,z'
loop_
_atom_site_label
_atom_site_fract_x
_atom_site_fract_y
_atom_site_fract_z
_atom_site_occupancy
Ho1 0.000 0.000 0.000 1
Ho2 0.000 0.500 0.313 1
Ho3 0.500 0.500 0.744 1
Ag1 0.500 0.000 0.486 1

***

# Na8Au GGA-PBE relaxed
# **Energy**: -28.77 eV per cell
# **E_form**: -0.062 eV/atom
# **Volume**: 279.6 Å³/f.u.
data_Na8Au
_chemical_formula_sum 'Na16 Au2'
_cell_length_a 10.554
_cell_length_b 10.554
_cell_length_c 5.020
_cell_angle_alpha 90.00
_cell_angle_beta 90.00
_cell_angle_gamma 90.00
_symmetry_space_group_name_H-M 'I 4/m m m'
_symmetry_Int_Tables_number 139
_symmetry_space_group_name_Hall '-I 4 2'
loop_
_atom_site_label
_atom_site_fract_x
_atom_site_fract_y
_atom_site_fract_z
_atom_site_occupancy
Na1 0.000 0.315 0.000 1
Na2 0.151 0.151 0.500 1
Au1 0.000 0.000 0.000 1

***

# CaPmTm2In4 GGA-PBE relaxed
# **Energy**: -90.60 eV per cell
# **E_form**: -0.444 eV/atom
# **Volume**: 216.8 Å³/f.u.
data_CaPmTm2In4
_chemical_formula_sum 'Ca3 Pm3 Tm6 In12'
_cell_length_a 5.3394
_cell_length_b 5.3394
_cell_length_c 26.3385
_cell_angle_alpha 90.00
_cell_angle_beta 90.00
_cell_angle_gamma 120.00
_symmetry_space_group_name_H-M 'R -3 m'
_symmetry_Int_Tables_number 166
_symmetry_space_group_name_Hall '-R 3 2"'
loop_
_atom_site_label
_atom_site_fract_x
_atom_site_fract_y
_atom_site_fract_z
_atom_site_occupancy
Ca1 0.0000 0.0000 0.0000 1
Pm1 0.0000 0.0000 0.5000 1
Tm1 0.0000 0.0000 0.2515 1
In1 0.0000 0.0000 0.1248 1
In2 0.0000 0.0000 0.3748 1

***

# CsCd2ReW GGA-PBE relaxed
# **Energy**: -14.76 eV per cell
# **E_form**: 2.664 eV/atom
# **Volume**: 155.3 Å³/f.u.
data_CsCd2ReW
_chemical_formula_sum 'Cs1 Cd2 Re1 W1'
_cell_length_a 5.306
_cell_length_b 5.306
_cell_length_c 5.514
_cell_angle_alpha 90.00
_cell_angle_beta 90.00
_cell_angle_gamma 90.00
_symmetry_space_group_name_H-M 'P 4/m m m'
_symmetry_Int_Tables_number 123
_symmetry_space_group_name_Hall '-P 4 2'
loop_
_atom_site_label
_atom_site_fract_x
_atom_site_fract_y
_atom_site_fract_z
_atom_site_occupancy
Cs1 0.000 0.000 0.000 1
Cd1 0.000 0.500 0.500 1
Re1 0.000 0.000 0.500 1
W1 0.500 0.500 0.000 1

***

# Tb5HoSc5 GGA-PBE relaxed
# **Energy**: -56.75 eV per cell
# **E_form**: 0.240 eV/atom
# **Volume**: 328.3 Å³/f.u.
data_Tb5HoSc5
_chemical_formula_sum 'Tb5 Ho1 Sc5'
_cell_length_a 5.7844
_cell_length_b 5.7844
_cell_length_c 11.3290
_cell_angle_alpha 90.00
_cell_angle_beta 90.00
_cell_angle_gamma 120.00
_symmetry_space_group_name_H-M 'P -6 m 2'
_symmetry_Int_Tables_number 187
_symmetry_space_group_name_Hall 'P -6 2'
loop_
_atom_site_label
_atom_site_fract_x
_atom_site_fract_y
_atom_site_fract_z
_atom_site_occupancy
Tb1 0.0000 0.0000 0.0000 1
Tb2 0.3333 0.6667 0.3186 1
Tb3 0.6667 0.3333 0.1589 1
Ho1 0.3333 0.6667 0.0000 1
Sc1 0.0000 0.0000 0.2694 1
Sc2 0.3287 0.1644 0.5000 1

***

# Tl2Ni2Hg GGA-PBE relaxed
# **Energy**: -30.62 eV per cell
# **E_form**: 0.257 eV/atom
# **Volume**: 110.1 Å³/f.u.
data_Tl2Ni2Hg
_chemical_formula_sum 'Tl4 Ni4 Hg2'
_cell_length_a 3.431
_cell_length_b 3.431
_cell_length_c 18.709
_cell_angle_alpha 90.00
_cell_angle_beta 90.00
_cell_angle_gamma 90.00
_symmetry_space_group_name_H-M 'I 4/m m m'
_symmetry_Int_Tables_number 139
_symmetry_space_group_name_Hall '-I 4 2'
loop_
_atom_site_label
_atom_site_fract_x
_atom_site_fract_y
_atom_site_fract_z
_atom_site_occupancy
Tl1 0.000 0.000 0.132 1
Ni1 0.000 0.500 0.250 1
Hg1 0.000 0.000 0.500 1

***

# Ho2TmV GGA-PBE relaxed
# **Energy**: -61.07 eV per cell
# **E_form**: 0.597 eV/atom
# **Volume**: 109.8 Å³/f.u.
data_Ho2TmV
_chemical_formula_sum 'Ho6 Tm3 V3'
_cell_length_a 3.3451
_cell_length_b 3.3451
_cell_length_c 33.9849
_cell_angle_alpha 90.00
_cell_angle_beta 90.00
_cell_angle_gamma 120.00
_symmetry_space_group_name_H-M 'R -3 m'
_symmetry_Int_Tables_number 166
_symmetry_space_group_name_Hall '-R 3 2"'
loop_
_atom_site_label
_atom_site_fract_x
_atom_site_fract_y
_atom_site_fract_z
_atom_site_occupancy
Ho1 0.0000 0.0000 0.0826 1
Tm1 0.0000 0.0000 0.5000 1
V1 0.0000 0.0000 0.0000 1

***

# PmTmCd2Hg4 GGA-PBE relaxed
# **Energy**: -45.65 eV per cell
# **E_form**: -0.370 eV/atom
# **Volume**: 189.7 Å³/f.u.
data_PmTmCd2Hg4
_chemical_formula_sum 'Pm3 Tm3 Cd6 Hg12'
_cell_length_a 5.1063
_cell_length_b 5.1063
_cell_length_c 25.1981
_cell_angle_alpha 90.00
_cell_angle_beta 90.00
_cell_angle_gamma 120.00
_symmetry_space_group_name_H-M 'R -3 m'
_symmetry_Int_Tables_number 166
_symmetry_space_group_name_Hall '-R 3 2"'
loop_
_atom_site_label
_atom_site_fract_x
_atom_site_fract_y
_atom_site_fract_z
_atom_site_occupancy
Pm1 0.0000 0.0000 0.0000 1
Tm1 0.0000 0.0000 0.5000 1
Cd1 0.0000 0.0000 0.2505 1
Hg1 0.0000 0.0000 0.1277 1
Hg2 0.0000 0.0000 0.3784 1

***

# Nd5SbAs4 GGA-PBE relaxed
# **Energy**: -121.80 eV per cell
# **Volume**: 285.8 Å³/f.u.
data_Nd5SbAs4
_chemical_formula_sum 'Nd10 Sb2 As8'
_cell_length_a 14.343
_cell_length_b 4.319
_cell_length_c 10.612
_cell_angle_alpha 90.00
_cell_angle_beta 119.58
_cell_angle_gamma 90.00
_symmetry_space_group_name_H-M 'C 1 2/m 1'
_symmetry_Int_Tables_number 12
loop_
_symmetry_equiv_pos_as_xyz
'x,y,z'
'-x,-y,-z'
'-x,y,-z'
'x,-y,z'
'x+1/2,y+1/2,z'
'-x+1/2,-y+1/2,-z'
'-x+1/2,y+1/2,-z'
'x+1/2,-y+1/2,z'
loop_
_atom_site_label
_atom_site_fract_x
_atom_site_fract_y
_atom_site_fract_z
_atom_site_occupancy
Nd1 0.000 0.000 0.000 1
Nd2 0.106 0.500 0.394 1
Nd3 0.204 0.000 0.809 1
Sb1 0.000 0.000 0.500 1
As1 0.098 0.500 0.899 1
As2 0.202 0.000 0.297 1